Entry 1:
First-principles (PBE-GGA) data for an optimized crystal structure of Sr2BeIn, as listed in Alexandria via LeMat-Bulk.

Structure (CIF):
```
data_Sr2BeIn
_space_group_name_H-M_alt 'P 1'
_space_group_IT_number 1
_space_group_name_Hall 'P 1'
_cell_length_a 9.7465
_cell_length_b 9.7465
_cell_length_c 9.7465
_cell_angle_alpha 24.38
_cell_angle_beta 24.38
_cell_angle_gamma 24.38
loop_
_atom_site_label
_atom_site_fract_x
_atom_site_fract_y
_atom_site_fract_z
Sr1 0.2402 0.2402 0.2402
Sr2 0.7598 0.7598 0.7598
Be1 0.5000 0.5000 0.5000
In1 0.0000 0.0000 0.0000
```

ΔH_f (0 K) in eV/atom: 0.283
DFT total energy in eV per atom: -2.174
Energy above the lowest structure with this stoichiometry in kJ per mole of atoms: 30.67

---

Entry 2:
First-principles (PBE-GGA) data for an optimized crystal structure of Sr2BeIn, as listed in Alexandria via LeMat-Bulk.

Structure (CIF):
```
data_Sr2BeIn
_space_group_name_H-M_alt 'P 1'
_space_group_IT_number 1
_space_group_name_Hall 'P 1'
_cell_length_a 8.7420
_cell_length_b 8.7420
_cell_length_c 8.7420
_cell_angle_alpha 29.38
_cell_angle_beta 29.38
_cell_angle_gamma 29.38
loop_
_atom_site_label
_atom_site_fract_x
_atom_site_fract_y
_atom_site_fract_z
Sr1 0.0000 0.0000 0.0000
Sr2 0.1787 0.1787 0.1787
Be1 0.7559 0.7559 0.7559
In1 0.4226 0.4226 0.4226
```

ΔH_f (0 K) in eV/atom: -0.035
DFT total energy in eV per atom: -2.492
Energy above the lowest structure with this stoichiometry in kJ per mole of atoms: 0.00